# PBE Y3Ho7In2, optimized geometry
# E_form: -56 meV per atom
data_Y3Ho7In2
_chemical_formula_sum 'Y3 Ho7 In2'
_space_group_name_H-M_alt 'P 1 2/m 1'
_space_group_IT_number 10
_cell_length_a 5.5659
_cell_length_b 3.5923
_cell_length_c 18.3412
_cell_angle_alpha 90.00
_cell_angle_beta 93.77
_cell_angle_gamma 90.00
loop_
_space_group_symop_operation_xyz
'x,y,z'
'-x,-y,-z'
'-x,y,-z'
'x,-y,z'
loop_
_atom_site_label
_atom_site_type_symbol
_atom_site_fract_x
_atom_site_fract_y
_atom_site_fract_z
Y1 Y 0.0000 0.0000 0.0000
Y2 Y 0.2778 0.5000 0.6350
Ho1 Ho 0.1676 0.5000 0.1484
Ho2 Ho 0.2413 0.0000 0.4590
Ho3 Ho 0.3300 0.0000 0.8278
Ho4 Ho 0.5000 0.5000 0.0000
In1 In 0.2035 0.0000 0.2922

---

# PBE SrLiAcAg, optimized geometry
# ΔE to the lowest computed polymorph: 0.000 eV/atom
# E_form: -108 meV per atom
data_SrLiAcAg
_chemical_formula_sum 'Sr2 Li2 Ac2 Ag2'
_space_group_name_H-M_alt 'A m m 2'
_space_group_IT_number 38
_cell_length_a 4.6116
_cell_length_b 4.4076
_cell_length_c 13.2212
_cell_angle_alpha 90.00
_cell_angle_beta 90.00
_cell_angle_gamma 90.00
loop_
_space_group_symop_operation_xyz
'x,y,z'
'-x,-y,z'
'-x,y,z'
'x,-y,z'
'x,y+1/2,z+1/2'
'-x,-y+1/2,z+1/2'
'-x,y+1/2,z+1/2'
'x,-y+1/2,z+1/2'
loop_
_atom_site_label
_atom_site_type_symbol
_atom_site_fract_x
_atom_site_fract_y
_atom_site_fract_z
Sr1 Sr 0.0000 0.0000 0.0000
Li1 Li 0.5000 0.0000 0.4153
Ac1 Ac 0.5000 0.0000 0.7121
Ag1 Ag 0.0000 0.0000 0.2901

---

# PBE TaTcAu, optimized geometry
# ΔE to the lowest computed polymorph: 0.094 eV/atom
# E_form: 74 meV per atom
data_TaTcAu
_chemical_formula_sum 'Ta2 Tc2 Au2'
_space_group_name_H-M_alt 'I m m 2'
_space_group_IT_number 44
_cell_length_a 2.6965
_cell_length_b 4.2594
_cell_length_c 8.7145
_cell_angle_alpha 90.00
_cell_angle_beta 90.00
_cell_angle_gamma 90.00
loop_
_space_group_symop_operation_xyz
'x,y,z'
'-x,-y,z'
'-x,y,z'
'x,-y,z'
'x+1/2,y+1/2,z+1/2'
'-x+1/2,-y+1/2,z+1/2'
'-x+1/2,y+1/2,z+1/2'
'x+1/2,-y+1/2,z+1/2'
loop_
_atom_site_label
_atom_site_type_symbol
_atom_site_fract_x
_atom_site_fract_y
_atom_site_fract_z
Ta1 Ta 0.0000 0.0000 0.0000
Tc1 Tc 0.0000 0.0000 0.6634
Au1 Au 0.0000 0.0000 0.3289

---

# PBE HoEr3Pb5, optimized geometry
# E_form: -371 meV per atom
data_HoEr3Pb5
_chemical_formula_sum 'Ho2 Er6 Pb10'
_space_group_name_H-M_alt 'P 63/m c m'
_space_group_IT_number 193
_space_group_name_Hall '-P 6c 2'
_cell_length_a 9.4876
_cell_length_b 9.4876
_cell_length_c 6.5241
_cell_angle_alpha 90.00
_cell_angle_beta 90.00
_cell_angle_gamma 120.00
loop_
_atom_site_label
_atom_site_type_symbol
_atom_site_fract_x
_atom_site_fract_y
_atom_site_fract_z
Ho1 Ho 0.0000 0.0000 0.0000
Er1 Er 0.0000 0.3809 0.2500
Pb1 Pb 0.0000 0.2890 0.7500
Pb2 Pb 0.3333 0.6667 0.0000

---

# PBE PmPr2PaBi4, optimized geometry
# E_form: -730 meV per atom
data_PmPr2PaBi4
_chemical_formula_sum 'Pm1 Pr2 Pa1 Bi4'
_space_group_name_H-M_alt 'P 1 2/m 1'
_space_group_IT_number 10
_cell_length_a 7.9360
_cell_length_b 4.5720
_cell_length_c 7.9459
_cell_angle_alpha 90.00
_cell_angle_beta 109.21
_cell_angle_gamma 90.00
loop_
_space_group_symop_operation_xyz
'x,y,z'
'-x,-y,-z'
'-x,y,-z'
'x,-y,z'
loop_
_atom_site_label
_atom_site_type_symbol
_atom_site_fract_x
_atom_site_fract_y
_atom_site_fract_z
Pm1 Pm 0.0000 0.0000 0.0000
Pr1 Pr 0.0000 0.5000 0.5000
Pr2 Pr 0.5000 0.0000 0.5000
Pa1 Pa 0.5000 0.5000 0.0000
Bi1 Bi 0.2521 0.5000 0.2426
Bi2 Bi 0.2558 0.0000 0.7585

---

# PBE SiAg2Sb, optimized geometry
# ΔE to the lowest computed polymorph: 0.048 eV/atom
# energy relative to the elements, uncorrected: 0.292 eV per atom
data_SiAg2Sb
_chemical_formula_sum 'Si3 Ag6 Sb3'
_space_group_name_H-M_alt 'R -3 m'
_space_group_IT_number 166
_space_group_name_Hall '-R 3 2"'
_cell_length_a 3.3119
_cell_length_b 3.3119
_cell_length_c 25.4271
_cell_angle_alpha 90.00
_cell_angle_beta 90.00
_cell_angle_gamma 120.00
loop_
_atom_site_label
_atom_site_type_symbol
_atom_site_fract_x
_atom_site_fract_y
_atom_site_fract_z
Si1 Si 0.0000 0.0000 0.0000
Ag1 Ag 0.0000 0.0000 0.2597
Sb1 Sb 0.0000 0.0000 0.5000

---

# PBE RePbSN2, optimized geometry
# ΔE to the lowest computed polymorph: 2.192 eV/atom
# energy relative to the elements, uncorrected: 2.482 eV per atom
data_RePbSN2
_chemical_formula_sum 'Re1 Pb1 S1 N2'
_space_group_name_H-M_alt 'P 4/m m m'
_space_group_IT_number 123
_space_group_name_Hall '-P 4 2'
_cell_length_a 4.2014
_cell_length_b 4.2014
_cell_length_c 5.4463
_cell_angle_alpha 90.00
_cell_angle_beta 90.00
_cell_angle_gamma 90.00
loop_
_atom_site_label
_atom_site_type_symbol
_atom_site_fract_x
_atom_site_fract_y
_atom_site_fract_z
Re1 Re 0.0000 0.0000 0.0000
Pb1 Pb 0.5000 0.5000 0.5000
S1 S 0.5000 0.5000 0.0000
N1 N 0.0000 0.5000 0.5000

---

# PBE ZnCoRu2, optimized geometry
# E_form: 137 meV per atom
data_ZnCoRu2
_chemical_formula_sum 'Zn2 Co2 Ru4'
_space_group_name_H-M_alt 'I -4 m 2'
_space_group_IT_number 119
_space_group_name_Hall 'I -4 -2'
_cell_length_a 3.6861
_cell_length_b 3.6861
_cell_length_c 7.7029
_cell_angle_alpha 90.00
_cell_angle_beta 90.00
_cell_angle_gamma 90.00
loop_
_atom_site_label
_atom_site_type_symbol
_atom_site_fract_x
_atom_site_fract_y
_atom_site_fract_z
Zn1 Zn 0.0000 0.0000 0.0000
Co1 Co 0.0000 0.5000 0.2500
Ru1 Ru 0.0000 0.0000 0.5000
Ru2 Ru 0.0000 0.5000 0.7500

---

# PBE PmBPd3, optimized geometry
# E_form: -567 meV per atom
data_PmBPd3
_chemical_formula_sum 'Pm1 B1 Pd3'
_space_group_name_H-M_alt 'P m -3 m'
_space_group_IT_number 221
_space_group_name_Hall '-P 4 2 3'
_cell_length_a 4.3668
_cell_length_b 4.3668
_cell_length_c 4.3668
_cell_angle_alpha 90.00
_cell_angle_beta 90.00
_cell_angle_gamma 90.00
loop_
_atom_site_label
_atom_site_type_symbol
_atom_site_fract_x
_atom_site_fract_y
_atom_site_fract_z
Pm1 Pm 0.0000 0.0000 0.0000
B1 B 0.5000 0.5000 0.5000
Pd1 Pd 0.0000 0.5000 0.5000

---

# PBE LaMgSe2Br, optimized geometry
# ΔE to the lowest computed polymorph: 0.000 eV/atom
# energy relative to the elements, uncorrected: -1.273 eV per atom
data_LaMgSe2Br
_chemical_formula_sum 'La1 Mg1 Se2 Br1'
_space_group_name_H-M_alt 'P 4/m m m'
_space_group_IT_number 123
_space_group_name_Hall '-P 4 2'
_cell_length_a 5.1626
_cell_length_b 5.1626
_cell_length_c 4.9164
_cell_angle_alpha 90.00
_cell_angle_beta 90.00
_cell_angle_gamma 90.00
loop_
_atom_site_label
_atom_site_type_symbol
_atom_site_fract_x
_atom_site_fract_y
_atom_site_fract_z
La1 La 0.0000 0.0000 0.0000
Mg1 Mg 0.5000 0.5000 0.5000
Se1 Se 0.0000 0.5000 0.5000
Br1 Br 0.5000 0.5000 0.0000

---

# PBE NdAl6, optimized geometry
# E_form: 405 meV per atom
data_NdAl6
_chemical_formula_sum 'Nd2 Al12'
_space_group_name_H-M_alt 'I m -3 m'
_space_group_IT_number 229
_space_group_name_Hall '-I 4 2 3'
_cell_length_a 7.1318
_cell_length_b 7.1318
_cell_length_c 7.1318
_cell_angle_alpha 90.00
_cell_angle_beta 90.00
_cell_angle_gamma 90.00
loop_
_atom_site_label
_atom_site_type_symbol
_atom_site_fract_x
_atom_site_fract_y
_atom_site_fract_z
Nd1 Nd 0.0000 0.0000 0.0000
Al1 Al 0.0000 0.2500 0.5000

---

# PBE YTlGaO4, optimized geometry
# energy relative to the elements, uncorrected: -1.897 eV per atom
data_YTlGaO4
_chemical_formula_sum 'Y4 Tl4 Ga4 O16'
_space_group_name_H-M_alt 'I m m a'
_space_group_IT_number 74
_space_group_name_Hall '-I 2b 2'
_cell_length_a 6.3015
_cell_length_b 6.9021
_cell_length_c 9.4020
_cell_angle_alpha 90.00
_cell_angle_beta 90.00
_cell_angle_gamma 90.00
loop_
_atom_site_label
_atom_site_type_symbol
_atom_site_fract_x
_atom_site_fract_y
_atom_site_fract_z
Y1 Y 0.0000 0.0000 0.0000
Tl1 Tl 0.2500 0.2500 0.2500
Ga1 Ga 0.0000 0.2500 0.6340
O1 O 0.0000 0.0280 0.7542
O2 O 0.2474 0.2500 0.9840

---

A plane-wave DFT calculation with PBE was carried out for a relaxed CaCdHRh2 crystal.

Structure (CIF):
```
data_CaCdHRh2
_chemical_formula_sum 'Ca1 Cd1 H1 Rh2'
_space_group_name_H-M_alt 'P 4/m m m'
_space_group_IT_number 123
_space_group_name_Hall '-P 4 2'
_cell_length_a 4.1588
_cell_length_b 4.1588
_cell_length_c 4.2784
_cell_angle_alpha 90.00
_cell_angle_beta 90.00
_cell_angle_gamma 90.00
loop_
_atom_site_label
_atom_site_type_symbol
_atom_site_fract_x
_atom_site_fract_y
_atom_site_fract_z
Ca1 Ca 0.0000 0.0000 0.0000
Cd1 Cd 0.5000 0.5000 0.0000
H1 H 0.0000 0.0000 0.5000
Rh1 Rh 0.0000 0.5000 0.5000
```

---

# PBE Ta2FeW, optimized geometry
# E_form: 102 meV per atom
data_Ta2FeW
_chemical_formula_sum 'Ta2 Fe1 W1'
_space_group_name_H-M_alt 'P 4 m m'
_space_group_IT_number 99
_cell_length_a 2.8280
_cell_length_b 2.8280
_cell_length_c 7.9714
_cell_angle_alpha 90.00
_cell_angle_beta 90.00
_cell_angle_gamma 90.00
loop_
_space_group_symop_operation_xyz
'x,y,z'
'-y,x,z'
'-x,-y,z'
'y,-x,z'
'-x,y,z'
'y,x,z'
'x,-y,z'
'-y,-x,z'
loop_
_atom_site_label
_atom_site_type_symbol
_atom_site_fract_x
_atom_site_fract_y
_atom_site_fract_z
Ta1 Ta 0.0000 0.0000 0.0000
Ta2 Ta 0.5000 0.5000 0.2928
Fe1 Fe 0.5000 0.5000 0.7712
W1 W 0.0000 0.0000 0.5769

---

# PBE KRb2PbBr5, optimized geometry
# energy relative to the elements, uncorrected: -1.414 eV per atom
data_KRb2PbBr5
_chemical_formula_sum 'K2 Rb4 Pb2 Br10'
_space_group_name_H-M_alt 'I m m m'
_space_group_IT_number 71
_space_group_name_Hall '-I 2 2'
_cell_length_a 5.7997
_cell_length_b 8.1605
_cell_length_c 16.8414
_cell_angle_alpha 90.00
_cell_angle_beta 90.00
_cell_angle_gamma 90.00
loop_
_atom_site_label
_atom_site_type_symbol
_atom_site_fract_x
_atom_site_fract_y
_atom_site_fract_z
K1 K 0.0000 0.0000 0.0000
Rb1 Rb 0.0000 0.5000 0.2041
Pb1 Pb 0.0000 0.0000 0.5000
Br1 Br 0.0000 0.2554 0.3690
Br2 Br 0.0000 0.5000 0.0000

---

# PBE LaZrPCl2, optimized geometry
# ΔE to the lowest computed polymorph: 0.000 eV/atom
# energy relative to the elements, uncorrected: -1.092 eV per atom
data_LaZrPCl2
_chemical_formula_sum 'La1 Zr1 P1 Cl2'
_space_group_name_H-M_alt 'P 4/m m m'
_space_group_IT_number 123
_space_group_name_Hall '-P 4 2'
_cell_length_a 4.8861
_cell_length_b 4.8861
_cell_length_c 5.2131
_cell_angle_alpha 90.00
_cell_angle_beta 90.00
_cell_angle_gamma 90.00
loop_
_atom_site_label
_atom_site_type_symbol
_atom_site_fract_x
_atom_site_fract_y
_atom_site_fract_z
La1 La 0.0000 0.0000 0.0000
Zr1 Zr 0.5000 0.5000 0.5000
P1 P 0.5000 0.5000 0.0000
Cl1 Cl 0.0000 0.5000 0.5000

---

# PBE ReAuSe2, optimized geometry
# ΔE to the lowest computed polymorph: 0.828 eV/atom
# energy relative to the elements, uncorrected: 0.941 eV per atom
data_ReAuSe2
_chemical_formula_sum 'Re1 Au1 Se2'
_space_group_name_H-M_alt 'P m m m'
_space_group_IT_number 47
_cell_length_a 2.8779
_cell_length_b 4.6008
_cell_length_c 5.4476
_cell_angle_alpha 90.00
_cell_angle_beta 90.00
_cell_angle_gamma 90.00
loop_
_space_group_symop_operation_xyz
'x,y,z'
'-x,-y,-z'
'-x,-y,z'
'x,y,-z'
'x,-y,-z'
'-x,y,z'
'-x,y,-z'
'x,-y,z'
loop_
_atom_site_label
_atom_site_type_symbol
_atom_site_fract_x
_atom_site_fract_y
_atom_site_fract_z
Re1 Re 0.0000 0.0000 0.0000
Au1 Au 0.5000 0.0000 0.5000
Se1 Se 0.0000 0.5000 0.5000
Se2 Se 0.5000 0.5000 0.0000

---

# PBE Ce2ZnGa3Pt6, optimized geometry
# E_form: -651 meV per atom
data_Ce2ZnGa3Pt6
_chemical_formula_sum 'Ce2 Zn1 Ga3 Pt6'
_space_group_name_H-M_alt 'P 4/m m m'
_space_group_IT_number 123
_space_group_name_Hall '-P 4 2'
_cell_length_a 4.0406
_cell_length_b 4.0406
_cell_length_c 15.8937
_cell_angle_alpha 90.00
_cell_angle_beta 90.00
_cell_angle_gamma 90.00
loop_
_atom_site_label
_atom_site_type_symbol
_atom_site_fract_x
_atom_site_fract_y
_atom_site_fract_z
Ce1 Ce 0.0000 0.0000 0.2172
Zn1 Zn 0.0000 0.0000 0.5000
Ga1 Ga 0.5000 0.5000 0.0000
Ga2 Ga 0.5000 0.5000 0.3086
Pt1 Pt 0.0000 0.5000 0.3982
Pt2 Pt 0.5000 0.5000 0.1523

---

# PBE YCrAsSe2, optimized geometry
# ΔE to the lowest computed polymorph: 0.000 eV/atom
# energy relative to the elements, uncorrected: -0.460 eV per atom
data_YCrAsSe2
_chemical_formula_sum 'Y1 Cr1 As1 Se2'
_space_group_name_H-M_alt 'P 4/m m m'
_space_group_IT_number 123
_space_group_name_Hall '-P 4 2'
_cell_length_a 4.9546
_cell_length_b 4.9546
_cell_length_c 4.6314
_cell_angle_alpha 90.00
_cell_angle_beta 90.00
_cell_angle_gamma 90.00
loop_
_atom_site_label
_atom_site_type_symbol
_atom_site_fract_x
_atom_site_fract_y
_atom_site_fract_z
Y1 Y 0.0000 0.0000 0.0000
Cr1 Cr 0.5000 0.5000 0.5000
As1 As 0.5000 0.5000 0.0000
Se1 Se 0.0000 0.5000 0.5000

---

# PBE AlAsPt2, optimized geometry
# ΔE to the lowest computed polymorph: 0.018 eV/atom
# E_form: -531 meV per atom
data_AlAsPt2
_chemical_formula_sum 'Al1 As1 Pt2'
_space_group_name_H-M_alt 'P 4/m m m'
_space_group_IT_number 123
_space_group_name_Hall '-P 4 2'
_cell_length_a 2.9376
_cell_length_b 2.9376
_cell_length_c 7.3637
_cell_angle_alpha 90.00
_cell_angle_beta 90.00
_cell_angle_gamma 90.00
loop_
_atom_site_label
_atom_site_type_symbol
_atom_site_fract_x
_atom_site_fract_y
_atom_site_fract_z
Al1 Al 0.0000 0.0000 0.0000
As1 As 0.0000 0.0000 0.5000
Pt1 Pt 0.5000 0.5000 0.2149

---

Short version: total DFT energy (no corrections) = -4.799, -2.746, -8.425, -4.461, -5.646, -3.520, -4.905, -6.596, -5.968, -4.305, -3.484, -6.424, -4.423, -11.178, -3.092, -5.608, -4.733, -5.523, -6.001, -5.649 eV per atom, in the order given.